(1)
Material: LaZnNiIr
Method: DFT, PBE
State: optimized geometry

Values from the calculation:
The calculation puts the energy at -5.509 eV per atom. As for the space group: Amm2, No. 38. The value obtained for the density is 9.81 Mg/m³. As for the density of states at the Fermi level: 2.0 states/eV/cell. For the total magnetization, the calculation gives 0.0 μB/f.u.

abc: 4.084 3.947 5.173
angles: 112.43 90.00 90.00
Atoms (fractional coordinates):
La1 0.500 0.210 0.420
Zn1 0.000 0.914 0.829
Ni1 0.500 0.481 0.961
Ir1 0.000 0.623 0.246

(2)
Material: Tb2Ce3PmN6
Method: DFT, PBE
State: optimized geometry

Values from the calculation:
As for the space group: C2/m, No. 12. The value obtained for the density is 8.46 Mg/m³. For the formation energy (no corrections), the calculation gives -1.547 eV per atom. As for the density of states at the Fermi level: 7.6 states/eV/cell. For the total magnetization, the calculation gives 0.5 μB/f.u.

abc: 6.154 6.154 6.144
angles: 99.61 99.61 119.99
Each line ends with the local moment (μB).
Atoms (fractional coordinates):
Tb1 0.333 0.667 0.000  0.01
Tb2 0.667 0.333 0.000  0.01
Ce1 0.167 0.833 0.500  0.14
Ce2 0.833 0.167 0.500  0.14
Ce3 0.500 0.500 0.500  0.15
Pm1 0.000 0.000 0.000  0.01
N1 0.915 0.575 0.745  -0.01
N2 0.744 0.744 0.254  -0.01
N3 0.085 0.425 0.255  -0.01
N4 0.575 0.915 0.745  -0.01
N5 0.256 0.256 0.746  -0.01
N6 0.425 0.085 0.255  -0.01

(3)
Material: SbP3C
Method: DFT, PBE
State: optimized geometry

Values from the calculation:
As for the space group: Pm-3m, No. 221. The value obtained for the density is 5.04 Mg/m³. For the formation energy (no corrections), the calculation gives 1.065 eV per atom. As for the density of states at the Fermi level: 3.1 states/eV/cell. For the total magnetization, the calculation gives 0.0 μB/f.u. The value obtained for the energy above the most stable polymorph in this dataset is 0 meV per atom.

abc: 4.210 4.210 4.210
angles: 90.00 90.00 90.00
Atoms (fractional coordinates):
Sb1 0.500 0.500 0.500
C1 0.000 0.000 0.000
P1 0.000 0.500 0.000
P2 0.000 0.000 0.500
P3 0.500 0.000 0.000

(4)
Material: ZrRe2Hg
Method: DFT, PBE
State: optimized geometry

Values from the calculation:
The calculation puts the energy at -7.967 eV per atom. As for the space group: I4/mmm, No. 139. The value obtained for the density is 15.48 Mg/m³. As for the density of states at the Fermi level: 3.5 states/eV/cell. For the total magnetization, the calculation gives 0.0 μB/f.u.

abc: 5.258 5.258 5.258
angles: 135.15 135.15 65.30
Atoms (fractional coordinates):
Hg1 0.750 0.250 0.500
Re1 0.000 0.000 0.000
Re2 0.500 0.500 0.000
Zr1 0.250 0.750 0.500

(5)
Material: Ce6TlSi
Method: DFT, PBE
State: optimized geometry

Values from the calculation:
As for the space group: P4/mmm, No. 123. The value obtained for the density is 8.62 Mg/m³. For the formation energy (no corrections), the calculation gives -0.233 eV per atom. As for the density of states at the Fermi level: 23.5 states/eV/cell. For the total magnetization, the calculation gives 4.8 μB/f.u.

abc: 4.697 4.697 9.365
angles: 90.00 90.00 90.00
Each line ends with the local moment (μB).
Atoms (fractional coordinates):
Ce1 0.500 0.500 0.000  0.80
Ce2 0.500 0.500 0.500  0.53
Ce3 0.500 0.000 0.269  0.65
Ce4 0.500 0.000 0.731  0.65
Ce5 0.000 0.500 0.269  0.65
Ce6 0.000 0.500 0.731  0.65
Tl1 0.000 0.000 0.000  -0.01
Si1 0.000 0.000 0.500  -0.01

(6)
Material: Tb4Ni3Ge
Method: DFT, PBE
State: optimized geometry

Values from the calculation:
The calculation puts the energy at -5.598 eV per atom. As for the space group: Pmm2, No. 25. The value obtained for the density is 8.69 Mg/m³. As for the density of states at the Fermi level: 5.9 states/eV/cell. For the total magnetization, the calculation gives 0.0 μB/f.u.

abc: 3.939 4.142 10.361
angles: 90.00 90.00 90.00
Atoms (fractional coordinates):
Tb1 0.500 0.500 0.367
Tb2 0.000 0.500 0.853
Tb3 0.000 0.000 0.142
Tb4 0.500 0.000 0.640
Ni1 0.000 0.500 0.569
Ni2 0.000 0.000 0.433
Ni3 0.500 0.000 0.925
Ge1 0.500 0.500 0.071

Repeat the fifth record exactly.
Material: Ce6TlSi
Method: DFT, PBE
State: optimized geometry

Values from the calculation:
As for the space group: P4/mmm, No. 123. The value obtained for the density is 8.62 Mg/m³. For the formation energy (no corrections), the calculation gives -0.233 eV per atom. As for the density of states at the Fermi level: 23.5 states/eV/cell. For the total magnetization, the calculation gives 4.8 μB/f.u.

abc: 4.697 4.697 9.365
angles: 90.00 90.00 90.00
Each line ends with the local moment (μB).
Atoms (fractional coordinates):
Ce1 0.500 0.500 0.000  0.80
Ce2 0.500 0.500 0.500  0.53
Ce3 0.500 0.000 0.269  0.65
Ce4 0.500 0.000 0.731  0.65
Ce5 0.000 0.500 0.269  0.65
Ce6 0.000 0.500 0.731  0.65
Tl1 0.000 0.000 0.000  -0.01
Si1 0.000 0.000 0.500  -0.01